TcBr3Cl: optimized geometry, GGA-PBE.

Output
V = 35.052 A^3/atom
E_form (uncorrected) = -0.443 eV/atom
Mass density = 3.54 g/cm3

The structure in POSCAR format:
```
TcBr3Cl
1.0
3.939 -7.886 0.000
3.939 7.886 0.000
-3.147 0.000 5.642
Tc Br Cl
2 6 2
direct
0.068 0.932 0.500
0.932 0.068 0.000
0.049 0.393 0.990
0.152 0.261 0.450
0.261 0.152 0.950
0.393 0.049 0.490
0.737 0.848 0.551
0.848 0.737 0.051
0.627 0.956 0.011
0.956 0.627 0.511
```


TcBrCl2: optimized geometry, GGA-PBE.

Output
V = 25.602 A^3/atom
E_form (uncorrected) = -0.071 eV/atom
Mass density = 4.03 g/cm3

The structure in POSCAR format:
```
TcBrCl2
1.0
3.102 0.000 0.000
0.000 4.771 0.000
0.000 0.000 13.839
Tc Br Cl
2 2 4
direct
0.000 0.000 0.000
0.500 0.500 0.500
0.000 0.500 0.647
0.500 0.000 0.147
0.000 0.000 0.499
0.000 0.500 0.363
0.500 0.000 0.863
0.500 0.500 0.999
```


- Among the records above, which one has the lowest V?
  TcBrCl2


- Which of these has the highest E_form (uncorrected)?
  TcBrCl2


- Among the records above, which one has the highest mass density?
  TcBrCl2


What did the second record say?
TcBrCl2: optimized geometry, GGA-PBE.

Output
V = 25.602 A^3/atom
E_form (uncorrected) = -0.071 eV/atom
Mass density = 4.03 g/cm3

The structure in POSCAR format:
```
TcBrCl2
1.0
3.102 0.000 0.000
0.000 4.771 0.000
0.000 0.000 13.839
Tc Br Cl
2 2 4
direct
0.000 0.000 0.000
0.500 0.500 0.500
0.000 0.500 0.647
0.500 0.000 0.147
0.000 0.000 0.499
0.000 0.500 0.363
0.500 0.000 0.863
0.500 0.500 0.999
```